An optimized crystal structure of RuWN2F. Source: the Alexandria database, functional PBE+U.

E above lowest polymorph: 103.2 kJ/mol of formula units
Electronic total energy: -31.2 eV per cell

a b c (Å): 3.822 3.822 4.583
angles (deg): 90.00 90.00 90.00
Space group P4/mmm (No. 123)
Asymmetric unit:
Ru1 0.000 0.000 0.000
W1 0.500 0.500 0.500
N1 0.000 0.500 0.000
F1 0.000 0.000 0.500